No. 1
18
Lattice="4.995 0.000 0.479 0.000 6.922 0.000 -0.188 0.000 8.025" Properties=species:S:1:pos:R:3 comment="Ga6CoIr2 PBE optimized geometry" ef_mev_per_atom=-257.2 total_energy_ev_per_atom=-5.034 pbc="T T T"
Ga 4.466 6.840 2.186
Ga 4.304 4.606 4.830
Ga 4.311 4.724 8.052
Ga 2.899 1.263 4.704
Ga 2.906 1.145 7.926
Ga 2.932 3.379 2.545
Ga 0.341 0.082 6.318
Ga 0.503 2.316 3.674
Ga 0.496 2.198 0.452
Ga 1.907 5.659 3.800
Ga 1.900 5.777 0.578
Ga 1.874 3.543 5.959
Co 2.497 3.461 0.239
Co -0.094 0.000 4.013
Ir 4.432 2.626 6.506
Ir 2.777 6.086 6.250
Ir 2.029 0.835 2.254
Ir 0.374 4.296 1.998

=====

No. 2
11
Lattice="-0.886 3.931 -1.331 -2.061 -2.575 -6.233 -8.102 -0.679 3.388" Properties=species:S:1:pos:R:3 comment="Ac4Cu5Ir2 PBE optimized geometry" ef_mev_per_atom=-245.3 total_energy_ev_per_atom=-5.212 pbc="T T T"
Ac -6.699 -0.373 -3.408
Ac -7.970 0.824 0.975
Ac -4.350 1.050 -0.769
Ac -3.078 -0.147 -5.151
Cu -3.561 -1.632 -2.448
Cu -1.723 -0.663 -0.811
Cu -1.030 -1.288 -3.117
Cu -8.439 -2.591 -2.034
Cu -6.602 -1.622 -0.397
Ir -5.502 -0.618 1.837
Ir -4.661 -2.636 -4.682

=====

No. 3
5
Lattice="-4.270 2.528 1.397 -1.550 0.099 -4.916 -2.255 -4.154 0.627" Properties=species:S:1:pos:R:3 comment="CaHfP2Cl PBE optimized geometry" total_energy_ev_per_atom=-4.464 raw_formation_energy_kj_per_mol_atoms=44.4 pbc="T T T"
P -0.775 0.050 -2.458
P -2.135 1.264 0.699
Ca 0.000 0.000 0.000
Hf -4.037 -0.763 -1.446
Cl -1.127 -2.077 0.314

=====

No. 4
12
Lattice="-3.859 -3.961 -0.790 0.321 -1.571 6.308 -5.916 9.188 2.589" Properties=species:S:1:pos:R:3 comment="Ho4MgBi PBE optimized geometry" ef_mev_per_atom=-7.6 total_energy_ev_per_atom=-3.972 pbc="T T T"
Ho -7.461 2.689 3.213
Ho -1.948 0.740 5.805
Ho -6.475 4.899 7.070
Ho -2.934 -1.469 1.946
Ho -5.011 0.122 4.115
Ho -4.559 4.099 1.725
Ho -5.171 0.902 0.986
Ho -4.397 3.306 4.903
Mg -2.821 -2.211 5.115
Mg -6.587 5.640 3.904
Bi -7.131 1.748 6.320
Bi -2.278 1.681 2.699

=====

Copy entry 3 word for word.
5
Lattice="-4.270 2.528 1.397 -1.550 0.099 -4.916 -2.255 -4.154 0.627" Properties=species:S:1:pos:R:3 comment="CaHfP2Cl PBE optimized geometry" total_energy_ev_per_atom=-4.464 raw_formation_energy_kj_per_mol_atoms=44.4 pbc="T T T"
P -0.775 0.050 -2.458
P -2.135 1.264 0.699
Ca 0.000 0.000 0.000
Hf -4.037 -0.763 -1.446
Cl -1.127 -2.077 0.314